# 1
First-principles (PBEsol) data for MgInN2 after structural relaxation, as listed in Alexandria via LeMat-Bulk.

## Properties
E = -5.420 eV per atom
DOS(E_F) = 11.4 states/eV per cell
total moment = 3.6 μB per cell
E_form (uncorrected) = 0.018 eV/atom
calculated density = 4.79 Mg/m³

a b c (Å): 4.8771 4.8771 9.7429
angles (deg): 90.00 90.00 90.00
With the nearest neighbours (Å) after each atom.
Space group I-42d (No. 122)
Unique sites:
1 Mg 0.0000 0.0000 0.0000 x4  4 N 2.09
2 In 0.0000 0.0000 0.5000 x4  4 N 2.14
3 N 0.2415 0.2500 0.1250 x8  2 Mg 2.09, 2 In 2.14

# 2
First-principles (PBEsol) data for Mg3InN after structural relaxation, as listed in Alexandria via LeMat-Bulk.

## Properties
E = -3.736 eV per atom
DOS(E_F) = 1.4 states/eV per cell
total moment = 0.0 μB per cell
E_form (uncorrected) = -0.404 eV/atom
calculated density = 4.05 Mg/m³

a b c (Å): 4.3586 4.3586 4.3586
angles (deg): 90.00 90.00 90.00
With the nearest neighbours (Å) after each atom.
Space group Pm-3m (No. 221)
Unique sites:
1 Mg 0.0000 0.0000 0.5000 x3  2 N 2.18
2 In 0.5000 0.5000 0.5000 x1  12 Mg 3.08
3 N 0.0000 0.0000 0.0000 x1  6 Mg 2.18

# 3
First-principles (PBEsol) data for Mg3InN after structural relaxation, as listed in Alexandria via LeMat-Bulk.

## Properties
E = -2.142 eV per atom
DOS(E_F) = 2.4 states/eV per cell
total moment = 2.0 μB per cell
E_form (uncorrected) = 1.190 eV/atom
calculated density = 2.33 Mg/m³

a b c (Å): 5.2401 5.2401 5.2401
angles (deg): 90.00 90.00 90.00
With the nearest neighbours (Å) after each atom.
Space group Pm-3m (No. 221)
Unique sites:
1 Mg 0.0000 0.0000 0.5000 x3  2 In 2.62
2 In 0.0000 0.0000 0.0000 x1  6 Mg 2.62
3 N 0.5000 0.5000 0.5000 x1  12 Mg 3.71

# 4
First-principles (PBEsol) data for MgInTeN2 after structural relaxation, as listed in Alexandria via LeMat-Bulk.

## Properties
E = -4.001 eV per atom
DOS(E_F) = 2.2 states/eV per cell
total moment = 3.0 μB per cell
E_form (uncorrected) = 1.055 eV/atom
calculated density = 4.56 Mg/m³

a b c (Å): 4.2197 4.2197 6.0306
angles (deg): 90.00 90.00 90.00
With the nearest neighbours (Å) after each atom.
Space group P4/mmm (No. 123)
Unique sites:
1 Mg 0.0000 0.0000 0.0000 x1  4 Te 2.98
2 In 0.5000 0.5000 0.5000 x1  4 N 2.11
3 Te 0.5000 0.5000 0.0000 x1  4 Mg 2.98, 2 In 3.02
4 N 0.0000 0.5000 0.5000 x2  2 In 2.11

# 5
First-principles (PBEsol) data for NaMgIn2Ni after structural relaxation, as listed in Alexandria via LeMat-Bulk.

## Properties
E = -3.150 eV per atom
DOS(E_F) = 1.9 states/eV per cell
total moment = 0.0 μB per cell
formation energy from the elements = -102 meV/atom
calculated density = 4.80 Mg/m³

a b c (Å): 4.8734 4.8734 4.8875
angles (deg): 90.00 90.00 90.00
With the nearest neighbours (Å) after each atom.
Space group P4/mmm (No. 123)
Unique sites:
1 Na 0.0000 0.0000 0.0000 x1  4 Mg 3.45, 8 In 3.45
2 Mg 0.5000 0.5000 0.0000 x1  2 Ni 2.44
3 In 0.0000 0.5000 0.5000 x2  2 Ni 2.44
4 Ni 0.5000 0.5000 0.5000 x1  4 In 2.44, 2 Mg 2.44

# 6
First-principles (PBEsol) data for NaMgInSb2 after structural relaxation, as listed in Alexandria via LeMat-Bulk.

## Properties
E = -2.490 eV per atom
DOS(E_F) = 2.3 states/eV per cell
total moment = 0.0 μB per cell
E_form (uncorrected) = 0.553 eV/atom
calculated density = 4.38 Mg/m³

a b c (Å): 5.4172 5.4172 5.2366
angles (deg): 90.00 90.00 90.00
With the nearest neighbours (Å) after each atom.
Space group P4/mmm (No. 123)
Unique sites:
1 Na 0.0000 0.0000 0.0000 x1  2 In 2.62, 4 Sb 2.71
2 Mg 0.5000 0.5000 0.5000 x1  8 Sb 3.77, 4 In 3.83
3 In 0.0000 0.0000 0.5000 x1  2 Na 2.62
4 Sb 0.0000 0.5000 0.0000 x2  2 Na 2.71

# 7
First-principles (PBEsol) data for Nd2MgIn after structural relaxation, as listed in Alexandria via LeMat-Bulk.

## Properties
E = -4.111 eV per atom
DOS(E_F) = 14.5 states/eV per cell
total moment = 0.0 μB per cell
formation energy from the elements = -353 meV/atom
calculated density = 6.40 Mg/m³

a b c (Å): 7.6295 7.6295 7.6295
angles (deg): 90.00 90.00 90.00
With the nearest neighbours (Å) after each atom.
Space group Fm-3m (No. 225)
Unique sites:
1 Nd 0.2500 0.2500 0.2500 x8  4 In 3.30, 4 Mg 3.30
2 Mg 0.0000 0.0000 0.0000 x4  8 Nd 3.30
3 In 0.0000 0.0000 0.5000 x4  8 Nd 3.30

# 8
First-principles (PBEsol) data for NdMgIn after structural relaxation, as listed in Alexandria via LeMat-Bulk.

## Properties
E = -3.737 eV per atom
DOS(E_F) = 1.3 states/eV per cell
total moment = 0.0 μB per cell
formation energy from the elements = -448 meV/atom
calculated density = 5.97 Mg/m³

a b c (Å): 7.6153 7.6153 4.7091
angles (deg): 90.00 90.00 120.00
With the nearest neighbours (Å) after each atom.
Space group P-62m (No. 189)
Unique sites:
1 Nd 0.0000 0.4306 0.0000 x3  5 In 3.26-3.28, 2 Mg 3.43
2 Mg 0.0000 0.7583 0.5000 x3  4 In 2.95-2.99, 2 Mg 3.19
3 In 0.0000 0.0000 0.0000 x1  6 Mg 2.99, 3 Nd 3.28
4 In 0.3333 0.6667 0.5000 x2  3 Mg 2.95, 6 Nd 3.26

Question: Among the records above, which one has the lowest E?
Answer: MgInN2